Material: Nb2AgMo
Method: DFT, PBE-GGA
State: relaxed

It has space group P4/mmm (No. 123), with a = 3.288 Å, b = 3.288 Å, c = 6.538 Å, α = 90.00°, β = 90.00° and γ = 90.00°. Symmetry generates all atoms from Nb at (0.000, 0.000, 0.229), Ag at (0.500, 0.500, 0.500) and Mo at (0.500, 0.500, 0.000).

The calculation puts the density of states at the Fermi level at 5.0 states/eV/cell. The calculation puts the energy above the most stable polymorph in this dataset at 0.000 eV/atom. The calculation puts the formation energy at 146 meV per atom.

=====

Material: NbAg2Mo
Method: DFT, PBE-GGA
State: relaxed

It has space group Fm-3m (No. 225), with a = 6.539 Å, b = 6.539 Å, c = 6.539 Å, α = 90.00°, β = 90.00° and γ = 90.00°. Symmetry generates all atoms from Nb at (0.000, 0.000, 0.000), Ag at (0.250, 0.250, 0.250) and Mo at (0.000, 0.000, 0.500).

The calculation puts the density of states at the Fermi level at 23.7 states/eV/cell. The calculation puts the energy above the most stable polymorph in this dataset at 0.000 eV/atom. The calculation puts the formation energy at 753 meV per atom.

=====

Material: NbAgMo3
Method: DFT, PBE-GGA
State: relaxed

It has space group Pm-3m (No. 221), with a = 4.742 Å, b = 4.742 Å, c = 4.742 Å, α = 90.00°, β = 90.00° and γ = 90.00°. Symmetry generates all atoms from Nb at (0.000, 0.000, 0.000), Ag at (0.500, 0.500, 0.500) and Mo at (0.000, 0.500, 0.500).

The calculation puts the density of states at the Fermi level at 10.1 states/eV/cell. The calculation puts the energy above the most stable polymorph in this dataset at 0.600 eV/atom. The calculation puts the formation energy at 2420 meV per atom.